PBE LiRuW2, relaxed; ρ = 13.35 Mg/m³; ΔE_f = 0.36 eV per atom; SG = Cm, No. 8; total magnetization = 0.00 μB/atom
1.0
-1.062 -2.958 -3.406
1.334 -1.792 -4.060
2.389 -3.902 1.798
Ru W Li
1 2 1
Direct
0.251 0.251 0.252
0.750 0.750 0.733
0.994 0.994 0.014
0.504 0.504 0.502